The following is a DFT calculation (PBE) of a relaxed BaIn6 crystal.

Computed properties:
**Polymorph energy (0 for the lowest one)**: 422 meV per atom
**Energy of formation from the pure elements**: 209 meV per atom
**Uncorrected energy**: -2.41 eV per atom
**M_tot**: 0.00 μB per formula unit
**V**: 46.17 A^3/atom
**Symmetry**: Pm-3m (221)

a b c (Å): 6.8627 6.8627 6.8627
angles (deg): 90.00 90.00 90.00
Last column: nearest neighbours and their distance in Å.
Fractional positions:
Ba (0.0000, 0.0000, 0.0000)  24 In 5.04
In (0.1959, 0.5000, 0.5000)  5 In 2.69-2.95
In (0.5000, 0.1959, 0.5000)  5 In 2.69-2.95
In (0.5000, 0.5000, 0.1959)  5 In 2.69-2.95
In (0.5000, 0.5000, 0.8041)  5 In 2.69-2.95
In (0.5000, 0.8041, 0.5000)  5 In 2.69-2.95
In (0.8041, 0.5000, 0.5000)  5 In 2.69-2.95

The following is a DFT calculation (PBE) of a relaxed TbPm5I12 crystal.

Computed properties:
**Uncorrected energy**: -3.88 eV per atom
**M_tot**: 0.00 μB per formula unit
**V**: 41.81 A^3/atom
**Formation energy from raw total energies**: -1.27 eV per atom
**Symmetry**: C2/m (12)

a b c (Å): 7.2796 7.2796 16.4117
angles (deg): 90.02 90.02 120.07
Last column: nearest neighbours and their distance in Å.
Fractional positions:
Tb (0.0000, 0.0000, 0.0000)  6 I 3.11
Pm (0.1663, 0.8337, 0.5000)  6 I 3.17
Pm (0.3334, 0.6666, 0.0000)  6 I 3.16
Pm (0.5000, 0.5000, 0.5000)  6 I 3.17
Pm (0.6666, 0.3334, 0.0000)  6 I 3.16
Pm (0.8337, 0.1663, 0.5000)  6 I 3.17
I (0.0000, 0.3269, 0.1220)  1 Tb 3.11, 2 Pm 3.16
I (0.0000, 0.6731, 0.8780)  1 Tb 3.11, 2 Pm 3.16
I (0.1665, 0.1665, 0.3758)  3 Pm 3.17
I (0.1670, 0.5006, 0.6240)  3 Pm 3.17
I (0.3269, 0.0000, 0.1220)  1 Tb 3.11, 2 Pm 3.16
I (0.3267, 0.3267, 0.8780)  1 Tb 3.11, 2 Pm 3.16
I (0.4994, 0.8330, 0.3760)  3 Pm 3.17
I (0.5006, 0.1670, 0.6240)  3 Pm 3.17
I (0.6731, 0.0000, 0.8780)  1 Tb 3.11, 2 Pm 3.16
I (0.6733, 0.6733, 0.1220)  1 Tb 3.11, 2 Pm 3.16
I (0.8330, 0.4994, 0.3760)  3 Pm 3.17
I (0.8335, 0.8335, 0.6242)  3 Pm 3.17

The following is a DFT calculation (PBE) of a relaxed InMoOs2 crystal.

Computed properties:
**Energy of formation from the pure elements**: 262 meV per atom
**Uncorrected energy**: -8.75 eV per atom
**M_tot**: 0.00 μB per formula unit
**V**: 16.16 A^3/atom
**Symmetry**: P4/mmm (123)

a b c (Å): 2.9127 2.9127 7.6179
angles (deg): 90.00 90.00 90.00
Last column: nearest neighbours and their distance in Å.
Fractional positions:
In (0.0000, 0.0000, 0.0000)  8 Os 2.91, 4 In 2.91
Mo (0.0000, 0.0000, 0.5000)  8 Os 2.71, 4 Mo 2.91
Os (0.5000, 0.5000, 0.2694)  4 Mo 2.71, 4 In 2.91, 4 Os 2.91
Os (0.5000, 0.5000, 0.7306)  4 Mo 2.71, 4 In 2.91, 4 Os 2.91